The following is a GGA-PBEsol calculation of an optimized crystal structure of LaAu3S, from the Alexandria database.

Geometry as POSCAR:
```
LaAu3S
1.0
5.539 0.000 0.000
0.000 5.539 0.000
0.000 0.000 5.539
La Au S
1 3 1
Cartesian
0.000 0.000 0.000
0.000 0.000 2.770
0.000 2.770 0.000
2.770 0.000 0.000
2.770 2.770 2.770
```

Results
spin magnetization = 0.4007 μB per atom
DOS(E_F) = 3.81 states/eV/f.u.



The following is a GGA-PBEsol calculation of an optimized crystal structure of La2SbAu3, from the Alexandria database.

Geometry as POSCAR:
```
La2SbAu3
1.0
3.761 0.000 0.000
0.000 4.656 0.000
0.000 0.000 8.310
La Sb Au
2 1 3
Cartesian
0.000 0.000 0.000
0.000 2.328 3.906
1.880 2.328 6.792
1.880 0.000 2.656
1.880 0.000 5.371
1.880 2.328 1.255
```

Results
spin magnetization = 0.0000 μB per atom
DOS(E_F) = 3.74 states/eV/f.u.



The following is a GGA-PBEsol calculation of an optimized crystal structure of La2SbAu, from the Alexandria database.

Geometry as POSCAR:
```
La2SbAu
1.0
4.536 0.000 0.000
0.000 2.175 5.826
0.000 -2.175 5.826
La Sb Au
2 1 1
Cartesian
0.000 0.000 0.000
2.268 0.000 3.265
2.268 0.000 6.536
0.000 0.000 8.522
```

Results
spin magnetization = 0.0742 μB per atom
DOS(E_F) = 4.34 states/eV/f.u.



The following is a GGA-PBEsol calculation of an optimized crystal structure of LaSbAu4, from the Alexandria database.

Geometry as POSCAR:
```
LaSbAu4
1.0
0.000 3.973 3.973
3.973 0.000 3.973
3.973 3.973 0.000
La Sb Au
1 1 4
Cartesian
0.000 0.000 0.000
1.987 1.987 1.987
4.966 2.981 2.981
2.981 4.966 2.981
2.981 2.981 4.966
4.966 4.966 4.966
```

Results
spin magnetization = 0.0000 μB per atom
DOS(E_F) = 1.67 states/eV/f.u.



Asked for ΔE_f (raw) across the records above, the calculation gives 5.00; -5.13; -3.76; -2.88 eV per formula unit in order.